Record 1
Here is a geometry-optimized Si3Hg2 structure from Alexandria via LeMat-Bulk. Energies are from PBE-GGA.

Output
As for the symmetry: P-3m1, No. 164. Its uncorrected formation energy is 0.409 eV per atom. The value obtained for the density of states at the Fermi level is 0.239 states/eV per atom. Its offset from the most stable computed form is 165 meV/atom. For the size of the total moment, the calculation gives 0.0000 μB per atom. The mass density is 7.52 g cm⁻³.

Unit cell a=3.825 b=3.825 c=8.462 alpha=90.00 beta=90.00 gamma=120.00
Element x y z (fractional)
1 Si 0.000 0.000 0.000
2 Si 0.333 0.667 0.449
3 Si 0.667 0.333 0.551
4 Hg 0.333 0.667 0.806
5 Hg 0.667 0.333 0.194

---

Record 2
Here is a geometry-optimized Si5Hg structure from Alexandria via LeMat-Bulk. Energies are from PBE-GGA.

Output
As for the symmetry: Amm2, No. 38. Its uncorrected formation energy is 0.452 eV per atom. The value obtained for the density of states at the Fermi level is 0.256 states/eV per atom. Its offset from the most stable computed form is 0 meV/atom. For the size of the total moment, the calculation gives 0.0000 μB per atom. The mass density is 5.30 g cm⁻³.

Unit cell a=6.716 b=5.419 c=5.419 alpha=32.83 beta=90.00 gamma=90.00
Element x y z (fractional)
1 Si 0.000 0.000 0.000
2 Si 0.000 0.300 0.300
3 Si 0.213 0.651 0.651
4 Si 0.500 0.135 0.135
5 Si 0.787 0.651 0.651
6 Hg 0.500 0.884 0.884

---

Record 3
Here is a geometry-optimized SiHg2 structure from Alexandria via LeMat-Bulk. Energies are from PBE-GGA.

Output
As for the symmetry: I4/mmm, No. 139. Its uncorrected formation energy is 0.506 eV per atom. The value obtained for the density of states at the Fermi level is 0.447 states/eV per atom. Its offset from the most stable computed form is 330 meV/atom. For the size of the total moment, the calculation gives 0.0000 μB per atom. The mass density is 10.70 g cm⁻³.

Unit cell a=5.199 b=5.199 c=5.199 alpha=136.12 beta=136.12 gamma=63.80
Element x y z (fractional)
1 Si 0.000 0.000 0.000
2 Hg 0.335 0.335 0.000
3 Hg 0.665 0.665 0.000

---

> Which value of offset from the most stable computed form does entry 1 give?

165 meV/atom

---

What did the third record say?
Here is a geometry-optimized SiHg2 structure from Alexandria via LeMat-Bulk. Energies are from PBE-GGA.

Output
As for the symmetry: I4/mmm, No. 139. Its uncorrected formation energy is 0.506 eV per atom. The value obtained for the density of states at the Fermi level is 0.447 states/eV per atom. Its offset from the most stable computed form is 330 meV/atom. For the size of the total moment, the calculation gives 0.0000 μB per atom. The mass density is 10.70 g cm⁻³.

Unit cell a=5.199 b=5.199 c=5.199 alpha=136.12 beta=136.12 gamma=63.80
Element x y z (fractional)
1 Si 0.000 0.000 0.000
2 Hg 0.335 0.335 0.000
3 Hg 0.665 0.665 0.000